# Nb2VW

A PBEsol-optimized structure of Nb2VW (meta-GGA SCAN, the Alexandria database).

## Properties
E: -38.3526 eV/atom

abc: 6.357 6.357 6.357
angles: 90.00 90.00 90.00
Space group Fm-3m (No. 225)
Inequivalent atoms, fractional coordinates:
Nb 0.250 0.250 0.250 x8
V 0.000 0.000 0.000 x4
W 0.000 0.000 0.500 x4